PBE Pm3Zn2GaNi6, optimized geometry; ΔE_f = -0.318 eV per atom; N(E_F) = 4.36 states/eV/cell; size of the total moment = 0.0 μB/f.u.
1.0
5.3359 0.0000 0.0000
-2.6680 4.6211 0.0000
0.0000 0.0000 8.3048
Pm Zn Ga Ni
3 2 1 6
direct
0.0000 0.0000 0.0000 Pm
0.3333 0.6667 0.6194 Pm
0.6667 0.3333 0.3806 Pm
0.3333 0.6667 0.0180 Zn
0.6667 0.3333 0.9820 Zn
0.0000 0.0000 0.5000 Ga
0.1780 0.3561 0.2754 Ni
0.1780 0.8220 0.2754 Ni
0.3561 0.1780 0.7246 Ni
0.6439 0.8220 0.2754 Ni
0.8220 0.1780 0.7246 Ni
0.8220 0.6439 0.7246 Ni